Below is a relaxed MnSbH3 crystal, with properties calculated at the PBE level. Values from VASP.

Cell and atoms, written as Quantum ESPRESSO input:
```
&SYSTEM
  ibrav = 0, nat = 5, ntyp = 3
/
ATOMIC_SPECIES
Mn 54.94 Mn.upf
Sb 121.76 Sb.upf
H 1.01 H.upf
CELL_PARAMETERS angstrom
4.059 0.000 0.000
0.000 4.059 0.000
0.000 0.000 4.059
ATOMIC_POSITIONS crystal
Mn 0.000 0.000 0.000
Sb 0.500 0.500 0.500
H 0.000 0.500 0.500
H 0.500 0.000 0.500
H 0.500 0.500 0.000
```

## Properties
- Energy relative to the lowest polymorph listed for this composition: 0.504 eV per atom
- VASP energy: -3.771 eV/atom
- Size of the total moment: 4.9 μB/f.u.
- Fermi-level density of states: 1.80 states/eV per cell